Here is AgMo2Cl after structural relaxation from the Alexandria database. Energies are from PBE. Values from VASP.

The structure in Quantum ESPRESSO input format:
```
&SYSTEM
  ibrav = 0, nat = 4, ntyp = 3
/
ATOMIC_SPECIES
Ag 107.87 Ag.upf
Cl 35.45 Cl.upf
Mo 95.94 Mo.upf
ATOMIC_POSITIONS angstrom
Ag -2.299 0.896 1.267
Cl -4.054 3.642 4.528
Mo -3.459 5.412 6.426
Mo -1.807 2.827 3.357
CELL_PARAMETERS angstrom
-1.604 1.245 -1.912
-1.238 -2.200 1.186
-3.511 5.492 6.522
```

Computed properties:
The calculation puts the raw formation energy at 0.69 eV per atom. As for the calculated density: 8.4 g/cm³.

Here is Cd2AuSe after structural relaxation from the Alexandria database. Energies are from PBE. Values from VASP.

The structure in Quantum ESPRESSO input format:
```
&SYSTEM
  ibrav = 0, nat = 4, ntyp = 3
/
ATOMIC_SPECIES
Au 196.97 Au.upf
Cd 112.41 Cd.upf
Se 78.96 Se.upf
ATOMIC_POSITIONS angstrom
Au -1.695 -3.885 -4.371
Cd 0.000 0.000 0.000
Cd -2.543 -5.827 -6.556
Se -0.848 -1.942 -2.185
CELL_PARAMETERS angstrom
-2.813 -0.567 -4.059
1.602 -2.832 -3.759
-2.180 -4.372 -0.923
```

Computed properties:
The calculation puts the raw formation energy at 0.14 eV per atom. As for the calculated density: 9.6 g/cm³.